# KAgPb2 (SCAN, PBEsol geometry)
data_KAgPb2
_chemical_formula_sum 'K2 Ag2 Pb4'
_cell_length_a 3.3853
_cell_length_b 5.9337
_cell_length_c 11.2680
_cell_angle_alpha 90.00
_cell_angle_beta 90.00
_cell_angle_gamma 90.00
_symmetry_space_group_name_H-M 'I m m m'
_symmetry_Int_Tables_number 71
_symmetry_space_group_name_Hall '-I 2 2'
loop_
_atom_site_label
_atom_site_fract_x
_atom_site_fract_y
_atom_site_fract_z
K1 0.0000 0.0000 0.0000
Ag1 0.0000 0.0000 0.5000
Pb1 0.0000 0.5000 0.2121
# energy relative to the elements	-0.087	eV/atom

---

# KAg4Pb (SCAN, PBEsol geometry)
data_KAg4Pb
_chemical_formula_sum 'K4 Ag16 Pb4'
_cell_length_a 7.9680
_cell_length_b 7.9680
_cell_length_c 7.9680
_cell_angle_alpha 90.00
_cell_angle_beta 90.00
_cell_angle_gamma 90.00
_symmetry_space_group_name_H-M 'F -4 3 m'
_symmetry_Int_Tables_number 216
_symmetry_space_group_name_Hall 'F -4 2 3'
loop_
_atom_site_label
_atom_site_fract_x
_atom_site_fract_y
_atom_site_fract_z
K1 0.0000 0.0000 0.0000
Ag1 0.1246 0.1246 0.6246
Pb1 0.2500 0.2500 0.2500
# energy relative to the elements	0.017	eV/atom

---

# KAgPb2 (SCAN, PBEsol geometry)
data_KAgPb2
_chemical_formula_sum 'K2 Ag2 Pb4'
_cell_length_a 10.3887
_cell_length_b 3.4474
_cell_length_c 6.7017
_cell_angle_alpha 90.00
_cell_angle_beta 98.87
_cell_angle_gamma 90.00
_symmetry_space_group_name_H-M 'C 1 m 1'
_symmetry_Int_Tables_number 8
_symmetry_space_group_name_Hall 'C -2y'
loop_
_atom_site_label
_atom_site_fract_x
_atom_site_fract_y
_atom_site_fract_z
K1 0.0000 0.0000 0.0000
Ag1 0.2486 0.0000 0.6695
Pb1 0.0111 0.5000 0.5364
Pb2 0.2643 0.5000 0.2977
# energy relative to the elements	0.020	eV/atom

---

# KAg2Pb (SCAN, PBEsol geometry)
data_KAg2Pb
_chemical_formula_sum 'K3 Ag6 Pb3'
_cell_length_a 4.8787
_cell_length_b 4.8787
_cell_length_c 17.7288
_cell_angle_alpha 90.00
_cell_angle_beta 90.00
_cell_angle_gamma 120.00
_symmetry_space_group_name_H-M 'R -3 m'
_symmetry_Int_Tables_number 166
_symmetry_space_group_name_Hall '-R 3 2"'
loop_
_atom_site_label
_atom_site_fract_x
_atom_site_fract_y
_atom_site_fract_z
K1 0.0000 0.0000 0.0000
Ag1 0.0000 0.0000 0.1862
Pb1 0.0000 0.0000 0.5000
# energy relative to the elements	-0.029	eV/atom